Record 1
Computed, not measured: NaHg3F8 after structural relaxation at the GGA-PBE level of DFT. Values from VASP.

Properties
Volume = 173.46 Å³/cell
Total energy = -35.6 eV per cell
Total moment = 1.214 μB per formula unit
ΔE_f (raw) = -1535 meV per atom
Space-group type = Pm-3m, No. 221
Density = 7.44 g/cm³
DOS(E_F) = 1.224 states/eV/atom

```
&SYSTEM
  ibrav = 0, nat = 12, ntyp = 3
/
ATOMIC_SPECIES
Na 22.99 Na.upf
Hg 200.59 Hg.upf
F 19.00 F.upf
CELL_PARAMETERS angstrom
5.577 0.000 0.000
0.000 5.577 0.000
0.000 0.000 5.577
ATOMIC_POSITIONS crystal
Na 0.000 0.000 0.000
Hg 0.500 0.500 0.000
Hg 0.500 0.000 0.500
Hg 0.000 0.500 0.500
F 0.252 0.252 0.748
F 0.252 0.748 0.252
F 0.748 0.252 0.252
F 0.748 0.748 0.748
F 0.748 0.748 0.252
F 0.748 0.252 0.748
F 0.252 0.748 0.748
F 0.252 0.252 0.252
```


Record 2
Computed, not measured: La6NdErTh2 after structural relaxation at the GGA-PBE level of DFT. Values from VASP.

Properties
Volume = 704.44 Å³/cell
Total energy = -104.3 eV per cell
Total moment = 0.000 μB per formula unit
Space-group type = C2/c, No. 15
Density = 7.59 g/cm³
DOS(E_F) = 1.452 states/eV/atom
Formation energy = 0.158 eV per atom

```
&SYSTEM
  ibrav = 0, nat = 20, ntyp = 4
/
ATOMIC_SPECIES
La 138.91 La.upf
Nd 144.24 Nd.upf
Er 167.26 Er.upf
Th 232.04 Th.upf
CELL_PARAMETERS angstrom
-7.260 -2.988 -4.652
3.365 -8.594 0.165
-5.503 2.177 7.084
ATOMIC_POSITIONS crystal
La 0.091 0.075 0.781
La 0.409 0.219 0.925
La 0.909 0.925 0.219
La 0.591 0.781 0.075
La 0.317 0.032 0.467
La 0.183 0.533 0.968
La 0.683 0.968 0.533
La 0.817 0.467 0.032
La 0.089 0.718 0.429
La 0.411 0.571 0.282
La 0.911 0.282 0.571
La 0.589 0.429 0.718
Nd 0.250 0.937 0.063
Nd 0.750 0.063 0.937
Er 0.250 0.438 0.562
Er 0.750 0.562 0.438
Th 0.436 0.796 0.698
Th 0.064 0.302 0.204
Th 0.564 0.204 0.302
Th 0.936 0.698 0.796
```